{
  "formula": "PrDyMoN3",
  "functional": "PBE",
  "state": "relaxed",
  "lattice_angstrom": [[3.5362, 0.0000, 0.0000], [0.0000, 9.0684, 0.8059], [0.0000, -1.9896, 5.8863]],
  "species": ["N", "N", "N", "Mo", "N", "Dy", "Dy", "N", "Mo", "Pr", "N", "Pr"],
  "fractional_positions": [[0.7500, 0.1578, 0.5203], [0.7500, 0.8017, 0.0607], [0.2500, 0.1983, 0.9393], [0.7500, 0.9239, 0.3493], [0.2500, 0.5128, 0.7575], [0.2500, 0.6466, 0.1375], [0.7500, 0.3534, 0.8625], [0.7500, 0.4872, 0.2425], [0.2500, 0.0761, 0.6507], [0.2500, 0.3149, 0.3467], [0.2500, 0.8422, 0.4797], [0.7500, 0.6851, 0.6533]],
  "spacegroup": "P2_1/m, No. 11",
  "energy_ev_per_atom": -8.552,
  "e_form_raw_mev_per_atom": -1021
}